{"formula": "Na2NpAs2Pd", "functional": "PBE-GGA", "state": "relaxed", "cell": [[4.3734, 0.0000, 0.0000], [0.0000, 6.9941, 0.0000], [0.0000, 0.0000, 8.4623]], "species": ["As", "As", "As", "As", "Pd", "Pd", "Na", "Na", "Na", "Na", "Np", "Np"], "fractional_positions": [[0.5000, 0.7690, 0.6140], [0.5000, 0.2690, 0.3860], [0.0000, 0.7606, 0.1854], [0.0000, 0.2606, 0.8146], [0.5000, 0.6486, 0.3162], [0.5000, 0.1486, 0.6838], [0.5000, 0.0237, 0.0804], [0.5000, 0.5237, 0.9196], [0.0000, 0.3521, 0.1528], [0.0000, 0.8521, 0.8472], [0.0000, 0.9916, 0.4606], [0.0000, 0.4916, 0.5394]], "crystal_system": "orthorhombic", "m_tot_mub_per_cell": 6.72, "spacegroup": "Pmc2_1", "n_ef_per_ev_fu": 10.3, "delta_e_f_ev_per_atom": -0.482}